Crystalline NaY3Sb at its relaxed geometry. Source: Alexandria, functional PBE-GGA.

Results
* polymorph energy (0 for the lowest one): 0 meV/atom
* DOS(E_F): 1.600 states/eV per atom
* symmetry: Pm-3m

Cell lengths 5.8141, 5.8141, 5.8141 Å; angles 90.00, 90.00, 90.00 degrees
Each line ends with the local moment (μB).
Fractional coordinates of all 5 atoms:
Y 0.5000 0.0000 0.0000  0.25
Y 0.0000 0.0000 0.5000  0.35
Y 0.0000 0.5000 0.0000  0.28
Sb 0.0000 0.0000 0.0000  -0.01
Na 0.5000 0.5000 0.5000  0.01

Crystalline NaY2Sb2 at its relaxed geometry. Source: Alexandria, functional PBE-GGA.

Results
* polymorph energy (0 for the lowest one): 0 meV/atom
* DOS(E_F): 0.346 states/eV per atom
* symmetry: P4/mbm

Cell lengths 8.3833, 8.3833, 4.0700 Å; angles 90.00, 90.00, 90.00 degrees
Each line ends with the local moment (μB).
Fractional coordinates of all 10 atoms:
Y 0.1492 0.6492 0.5000  0.13
Y 0.8508 0.3508 0.5000  0.13
Y 0.3508 0.1492 0.5000  0.14
Y 0.6492 0.8508 0.5000  0.14
Sb 0.3464 0.8464 0.0000  -0.01
Sb 0.1536 0.3464 0.0000  -0.01
Sb 0.8464 0.6536 0.0000  -0.01
Sb 0.6536 0.1536 0.0000  -0.01
Na 0.5000 0.5000 0.0000  0.02
Na 0.0000 0.0000 0.0000  0.02

Crystalline Na3YSb at its relaxed geometry. Source: Alexandria, functional PBE-GGA.

Results
* polymorph energy (0 for the lowest one): 0 meV/atom
* DOS(E_F): 0.478 states/eV per atom
* symmetry: Pm-3m

Cell lengths 5.8092, 5.8092, 5.8092 Å; angles 90.00, 90.00, 90.00 degrees
Each line ends with the local moment (μB).
Fractional coordinates of all 5 atoms:
Na 0.0000 0.5000 0.0000  0.00
Na 0.0000 0.0000 0.5000  0.01
Na 0.5000 0.0000 0.0000  0.00
Y 0.5000 0.5000 0.5000  0.45
Sb 0.0000 0.0000 0.0000  -0.03

Calculated total energy in Ry/atom, matching the order above: -0.359; -0.389; -0.190
Raw formation energy in eV/f.u., matching the order above: 0.406; -3.992; 1.604